1.
## Tm6CuNi5 (GGA-PBE)

Data for a relaxed Tm6CuNi5 crystal.

Geometry as extended XYZ:
```
12
Lattice="2.364 -7.062 0.000 2.364 7.062 0.000 0.000 0.000 6.699" Properties=species:S:1:pos:R:3 pbc="T T T"
Tm 0.000 0.000 1.649
Tm 0.000 0.000 5.050
Tm 2.364 2.375 1.663
Tm 2.364 2.375 5.036
Tm 2.364 -2.375 1.663
Tm 2.364 -2.375 5.036
Cu 2.364 0.000 3.350
Ni 2.364 4.712 3.350
Ni 2.364 4.705 0.000
Ni 2.364 0.000 0.000
Ni 2.364 -4.705 0.000
Ni 2.364 -4.712 3.350
```

* energy relative to the elements: -40.92 kJ per mole of atoms
* DFT total energy: -5.41 eV/atom
* magnetic moment: 0.00 μB/f.u.
* density: 10.17 g cm⁻³

2.
## Tm5Cu4Ni (GGA-PBE)

Data for a relaxed Tm5Cu4Ni crystal.

Geometry as extended XYZ:
```
10
Lattice="3.380 0.000 0.000 0.000 3.380 0.000 0.000 0.000 17.191" Properties=species:S:1:pos:R:3 pbc="T T T"
Tm 0.000 0.000 0.000
Tm 0.000 0.000 3.484
Tm 0.000 0.000 6.964
Tm 0.000 0.000 10.227
Tm 0.000 0.000 13.708
Cu 1.690 1.690 1.729
Cu 1.690 1.690 5.217
Cu 1.690 1.690 11.974
Cu 1.690 1.690 15.462
Ni 1.690 1.690 8.596
```

* energy relative to the elements: -31.64 kJ per mole of atoms
* DFT total energy: -4.78 eV/atom
* magnetic moment: 0.00 μB/f.u.
* density: 9.78 g cm⁻³

3.
## Tm4Cu2Ni (GGA-PBE)

Data for a relaxed Tm4Cu2Ni crystal.

Geometry as extended XYZ:
```
7
Lattice="2.387 1.378 7.780 -2.387 1.378 7.780 0.000 -2.756 7.780" Properties=species:S:1:pos:R:3 pbc="T T T"
Tm 0.000 0.000 2.892
Tm 0.000 0.000 8.737
Tm 0.000 0.000 14.604
Tm 0.000 0.000 20.449
Cu 0.000 0.000 5.830
Cu 0.000 0.000 17.511
Ni 0.000 0.000 0.000
```

* energy relative to the elements: -21.10 kJ per mole of atoms
* DFT total energy: -4.77 eV/atom
* magnetic moment: 0.00 μB/f.u.
* density: 9.32 g cm⁻³

4.
## TmCu4Ni (GGA-PBE)

Data for a relaxed TmCu4Ni crystal.

Geometry as extended XYZ:
```
12
Lattice="7.221 0.000 0.000 0.000 3.766 0.000 0.000 0.000 6.450" Properties=species:S:1:pos:R:3 pbc="T T T"
Tm 1.805 0.000 0.728
Tm 5.416 0.000 5.723
Cu 0.000 0.000 3.225
Cu 0.335 1.883 5.133
Cu 1.805 1.883 2.985
Cu 3.276 1.883 5.133
Cu 3.610 0.000 3.225
Cu 3.945 1.883 1.317
Cu 5.416 1.883 3.465
Cu 6.886 1.883 1.317
Ni 1.805 0.000 4.691
Ni 5.416 0.000 1.759
```

* energy relative to the elements: -10.69 kJ per mole of atoms
* DFT total energy: -4.55 eV/atom
* magnetic moment: 0.00 μB/f.u.
* density: 9.12 g cm⁻³

5.
## Tm12CuNi6 (GGA-PBE)

Data for a relaxed Tm12CuNi6 crystal.

Geometry as extended XYZ:
```
19
Lattice="-4.740 4.740 4.740 4.740 -4.740 4.740 4.740 4.740 -4.740" Properties=species:S:1:pos:R:3 pbc="T T T"
Tm 4.740 2.979 -1.900
Tm 2.840 0.000 1.760
Tm 6.639 0.000 1.760
Tm 1.760 2.840 0.000
Tm 2.979 -1.900 4.740
Tm 0.000 1.760 2.840
Tm 4.740 2.979 1.900
Tm 1.760 6.639 0.000
Tm 2.979 1.900 4.740
Tm -1.900 4.740 2.979
Tm 1.900 4.740 2.979
Tm 0.000 1.760 6.639
Cu 0.000 0.000 0.000
Ni 4.740 1.195 0.000
Ni 4.740 0.000 3.545
Ni 3.545 4.740 0.000
Ni 1.195 0.000 4.740
Ni 0.000 4.740 1.195
Ni 0.000 3.545 4.740
```

* energy relative to the elements: -30.42 kJ per mole of atoms
* DFT total energy: -5.18 eV/atom
* magnetic moment: 0.00 μB/f.u.
* density: 9.53 g cm⁻³

6.
## Tm4Cu5Ni2 (GGA-PBE)

Data for a relaxed Tm4Cu5Ni2 crystal.

Geometry as extended XYZ:
```
11
Lattice="6.716 0.000 0.000 0.000 3.861 0.000 -0.284 0.000 7.638" Properties=species:S:1:pos:R:3 pbc="T T T"
Tm 1.385 0.000 2.760
Tm 1.381 0.000 6.833
Tm 5.052 0.000 0.805
Tm 5.047 0.000 4.878
Cu 0.785 1.931 4.741
Cu 2.927 1.931 1.207
Cu 3.216 1.931 3.819
Cu 3.505 1.931 6.432
Cu 5.647 1.931 2.897
Ni 0.479 1.931 1.047
Ni 5.953 1.931 6.592
```

* energy relative to the elements: -28.40 kJ per mole of atoms
* DFT total energy: -4.83 eV/atom
* magnetic moment: 0.00 μB/f.u.
* density: 9.31 g cm⁻³

7.
## TmCu8Ni4 (GGA-PBE)

Data for a relaxed TmCu8Ni4 crystal.

Geometry as extended XYZ:
```
13
Lattice="-4.149 4.149 2.415 4.149 -4.149 2.415 4.149 4.149 -2.415" Properties=species:S:1:pos:R:3 pbc="T T T"
Tm 0.000 0.000 0.000
Cu 2.903 0.000 0.000
Cu 5.395 0.000 0.000
Cu 4.149 2.318 0.000
Cu 0.000 2.903 0.000
Cu 2.318 4.149 0.000
Cu 1.832 0.000 2.415
Cu 0.000 5.395 0.000
Cu 0.000 1.832 2.415
Ni 2.075 2.075 -1.207
Ni 2.075 -2.075 1.207
Ni -2.075 2.075 1.207
Ni 2.075 2.075 1.207
```

* energy relative to the elements: -11.61 kJ per mole of atoms
* DFT total energy: -4.76 eV/atom
* magnetic moment: 0.00 μB/f.u.
* density: 9.11 g cm⁻³

8.
## TmCu9Ni3 (GGA-PBE)

Data for a relaxed TmCu9Ni3 crystal.

Geometry as extended XYZ:
```
13
Lattice="2.413 -5.884 0.000 2.413 5.884 0.000 -2.329 0.000 5.908" Properties=species:S:1:pos:R:3 pbc="T T T"
Tm 0.000 0.000 0.000
Cu 0.098 3.806 3.846
Cu 0.063 1.301 4.611
Cu 2.400 3.806 2.062
Cu 0.063 -1.301 4.611
Cu 1.249 0.000 2.954
Cu 2.435 1.301 1.296
Cu 0.098 -3.806 3.846
Cu 2.435 -1.301 1.296
Cu 2.400 -3.806 2.062
Ni -1.164 0.000 2.954
Ni 1.207 2.942 0.000
Ni 1.207 -2.942 0.000
```

* energy relative to the elements: -10.87 kJ per mole of atoms
* DFT total energy: -4.63 eV/atom
* magnetic moment: 0.00 μB/f.u.
* density: 9.07 g cm⁻³

9.
## Tm7Cu2Ni2 (GGA-PBE)

Data for a relaxed Tm7Cu2Ni2 crystal.

Geometry as extended XYZ:
```
11
Lattice="3.663 -5.336 0.000 3.663 5.336 0.000 0.000 0.000 6.794" Properties=species:S:1:pos:R:3 pbc="T T T"
Tm 0.000 0.000 0.000
Tm 1.831 2.668 1.759
Tm 1.831 2.668 5.035
Tm 1.831 -2.668 1.759
Tm 1.831 -2.668 5.035
Tm 3.663 0.000 1.720
Tm 3.663 0.000 5.074
Cu 1.264 0.000 3.397
Cu 6.062 0.000 3.397
Ni 3.663 2.189 0.000
Ni 3.663 -2.189 0.000
```

* energy relative to the elements: -9.09 kJ per mole of atoms
* DFT total energy: -4.74 eV/atom
* magnetic moment: 0.00 μB/f.u.
* density: 8.92 g cm⁻³

10.
## Tm5CuNi2 (GGA-PBE)

Data for a relaxed Tm5CuNi2 crystal.

Geometry as extended XYZ:
```
16
Lattice="-3.715 3.715 6.406 3.715 -3.715 6.406 3.715 3.715 -6.406" Properties=species:S:1:pos:R:3 pbc="T T T"
Tm 0.000 0.000 0.000
Tm 4.927 1.212 -1.793
Tm 1.212 2.503 -1.793
Tm 4.927 1.212 1.793
Tm 1.212 2.503 1.793
Tm 0.000 0.000 6.406
Tm 2.503 1.212 4.613
Tm -1.212 2.503 4.613
Tm 2.503 1.212 8.199
Tm -1.212 2.503 8.199
Cu 0.000 0.000 3.203
Cu 0.000 0.000 9.609
Ni 2.771 0.944 0.000
Ni 2.771 -0.944 6.406
Ni 0.944 4.658 0.000
Ni 0.944 2.771 6.406
```

* energy relative to the elements: -29.99 kJ per mole of atoms
* DFT total energy: -5.06 eV/atom
* magnetic moment: 0.00 μB/f.u.
* density: 9.63 g cm⁻³

11.
## Tm2Cu2Ni15 (GGA-PBE)

Data for a relaxed Tm2Cu2Ni15 crystal.

Geometry as extended XYZ:
```
19
Lattice="4.137 2.389 4.020 -4.137 2.389 4.020 0.000 -4.777 4.020" Properties=species:S:1:pos:R:3 pbc="T T T"
Tm 0.000 0.000 1.906
Tm 0.000 0.000 10.154
Cu 0.000 0.000 4.833
Cu 0.000 0.000 7.227
Ni -2.069 -1.194 4.020
Ni 0.000 -2.400 3.870
Ni -2.079 1.200 3.870
Ni -1.235 -2.139 6.030
Ni -2.470 0.000 6.030
Ni -2.079 -1.200 8.190
Ni -2.069 1.194 8.040
Ni 1.235 -2.139 6.030
Ni 0.000 2.389 4.020
Ni -1.235 2.139 6.030
Ni 2.079 1.200 3.870
Ni 2.470 0.000 6.030
Ni 1.235 2.139 6.030
Ni 2.079 -1.200 8.190
Ni 0.000 2.400 8.190
```

* energy relative to the elements: -19.97 kJ per mole of atoms
* DFT total energy: -5.67 eV/atom
* magnetic moment: 5.43 μB/f.u.
* density: 9.37 g cm⁻³

12.
## TmCuNi4 (GGA-PBE)

Data for a relaxed TmCuNi4 crystal.

Geometry as extended XYZ:
```
6
Lattice="0.000 3.417 3.417 3.417 0.000 3.417 3.417 3.417 0.000" Properties=species:S:1:pos:R:3 pbc="T T T"
Tm 0.000 0.000 0.000
Cu 1.708 1.708 1.708
Ni 4.265 2.568 2.568
Ni 2.568 4.265 2.568
Ni 2.568 2.568 4.265
Ni 4.265 4.265 4.265
```

* energy relative to the elements: -29.23 kJ per mole of atoms
* DFT total energy: -5.59 eV/atom
* magnetic moment: 1.06 μB/f.u.
* density: 9.73 g cm⁻³

13.
## Tm3CuNi (GGA-PBE)

Data for a relaxed Tm3CuNi crystal.

Geometry as extended XYZ:
```
10
Lattice="4.935 -3.138 0.000 4.935 3.138 0.000 -3.183 0.000 7.215" Properties=species:S:1:pos:R:3 pbc="T T T"
Tm -0.675 0.000 1.722
Tm 0.895 0.000 4.811
Tm 2.614 0.000 1.033
Tm 4.074 0.000 6.181
Tm 5.793 0.000 2.404
Tm 7.363 0.000 5.493
Cu 3.344 1.243 3.607
Cu 3.344 -1.243 3.607
Ni 4.935 1.222 0.000
Ni 4.935 -1.222 0.000
```

* energy relative to the elements: -24.28 kJ per mole of atoms
* DFT total energy: -4.91 eV/atom
* magnetic moment: 0.00 μB/f.u.
* density: 9.35 g cm⁻³

14.
## TmCuNi (GGA-PBE)

Data for a relaxed TmCuNi crystal.

Geometry as extended XYZ:
```
3
Lattice="4.127 0.000 0.000 -2.064 3.574 0.000 0.000 0.000 3.478" Properties=species:S:1:pos:R:3 pbc="T T T"
Tm 0.000 0.000 0.000
Cu 0.000 2.383 1.739
Ni 2.064 1.191 1.739
```

* energy relative to the elements: -33.07 kJ per mole of atoms
* DFT total energy: -5.13 eV/atom
* magnetic moment: 0.00 μB/f.u.
* density: 9.42 g cm⁻³

15.
## Tm3Cu2Ni3 (GGA-PBE)

Data for a relaxed Tm3Cu2Ni3 crystal.

Geometry as extended XYZ:
```
16
Lattice="1.989 -5.152 0.000 1.989 5.152 0.000 0.000 0.000 13.563" Properties=species:S:1:pos:R:3 pbc="T T T"
Tm 1.989 4.289 8.236
Tm 1.989 4.289 12.109
Tm 1.989 1.428 10.173
Tm 1.989 -1.428 3.391
Tm 1.989 -4.289 1.455
Tm 1.989 -4.289 5.327
Cu 1.989 2.949 1.290
Cu 1.989 2.949 5.491
Cu 1.989 -2.949 8.072
Cu 1.989 -2.949 12.273
Ni 1.989 1.555 3.391
Ni 1.989 1.062 7.326
Ni 1.989 1.062 13.020
Ni 1.989 -1.062 0.544
Ni 1.989 -1.062 6.238
Ni 1.989 -1.555 10.173
```

* energy relative to the elements: -37.94 kJ per mole of atoms
* DFT total energy: -5.26 eV/atom
* magnetic moment: 0.00 μB/f.u.
* density: 9.68 g cm⁻³

16.
## Tm2Cu12Ni5 (GGA-PBE)

Data for a relaxed Tm2Cu12Ni5 crystal.

Geometry as extended XYZ:
```
19
Lattice="4.209 2.430 4.109 -4.209 2.430 4.109 0.000 -4.860 4.109" Properties=species:S:1:pos:R:3 pbc="T T T"
Tm 0.000 0.000 2.121
Tm 0.000 0.000 10.206
Cu 0.000 -2.429 3.935
Cu -2.104 1.215 3.935
Cu -1.239 -2.147 6.164
Cu -2.479 0.000 6.164
Cu -2.104 -1.215 8.392
Cu 1.239 -2.147 6.164
Cu -1.239 2.147 6.164
Cu 2.104 1.215 3.935
Cu 2.479 0.000 6.164
Cu 1.239 2.147 6.164
Cu 2.104 -1.215 8.392
Cu 0.000 2.429 8.392
Ni -2.104 -1.215 4.109
Ni 0.000 0.000 4.937
Ni -2.104 1.215 8.218
Ni 0.000 2.430 4.109
Ni 0.000 0.000 7.391
```

* energy relative to the elements: -15.13 kJ per mole of atoms
* DFT total energy: -4.74 eV/atom
* magnetic moment: 0.00 μB/f.u.
* density: 9.18 g cm⁻³

17.
## Tm5CuNi4 (GGA-PBE)

Data for a relaxed Tm5CuNi4 crystal.

Geometry as extended XYZ:
```
10
Lattice="3.338 0.000 0.000 0.000 3.338 0.000 0.000 0.000 16.786" Properties=species:S:1:pos:R:3 pbc="T T T"
Tm 0.000 0.000 0.000
Tm 0.000 0.000 3.324
Tm 0.000 0.000 6.640
Tm 0.000 0.000 10.147
Tm 0.000 0.000 13.463
Cu 1.669 1.669 8.393
Ni 1.669 1.669 1.658
Ni 1.669 1.669 4.994
Ni 1.669 1.669 11.793
Ni 1.669 1.669 15.128
```

* energy relative to the elements: -40.36 kJ per mole of atoms
* DFT total energy: -5.38 eV/atom
* magnetic moment: 0.00 μB/f.u.
* density: 10.15 g cm⁻³

18.
## Tm2CuNi9 (GGA-PBE)

Data for a relaxed Tm2CuNi9 crystal.

Geometry as extended XYZ:
```
12
Lattice="2.434 1.405 7.930 -2.434 1.405 7.930 0.000 -2.811 7.930" Properties=species:S:1:pos:R:3 pbc="T T T"
Tm 0.000 0.000 3.189
Tm 0.000 0.000 20.600
Cu 0.000 0.000 0.000
Ni -1.223 -0.706 9.878
Ni 0.000 0.000 7.926
Ni 0.000 -1.413 13.912
Ni -1.223 0.706 13.912
Ni 0.000 0.000 11.895
Ni 1.223 -0.706 9.878
Ni 0.000 1.413 9.878
Ni 0.000 0.000 15.863
Ni 1.223 0.706 13.912
```

* energy relative to the elements: -17.43 kJ per mole of atoms
* DFT total energy: -5.60 eV/atom
* magnetic moment: 2.74 μB/f.u.
* density: 9.48 g cm⁻³

19.
## TmCu4Ni (GGA-PBE)

Data for a relaxed TmCu4Ni crystal.

Geometry as extended XYZ:
```
6
Lattice="2.490 -3.955 0.000 2.490 3.955 0.000 0.000 0.000 4.984" Properties=species:S:1:pos:R:3 pbc="T T T"
Tm 0.000 0.000 0.000
Cu 1.245 1.977 2.492
Cu 1.245 -1.977 2.492
Cu 2.490 0.000 1.299
Cu 2.490 0.000 3.685
Ni 0.000 0.000 2.492
```

* energy relative to the elements: 2.99 kJ per mole of atoms
* DFT total energy: -4.41 eV/atom
* magnetic moment: 0.00 μB/f.u.
* density: 8.15 g cm⁻³

20.
## Tm12Cu6Ni (GGA-PBE)

Data for a relaxed Tm12Cu6Ni crystal.

Geometry as extended XYZ:
```
19
Lattice="6.024 3.478 3.868 -6.024 3.478 3.868 0.000 -6.956 3.868" Properties=species:S:1:pos:R:3 pbc="T T T"
Tm -3.914 -3.900 6.301
Tm -5.334 1.440 5.302
Tm -1.366 -1.821 4.525
Tm 1.420 -5.339 5.302
Tm -0.894 2.094 4.525
Tm -2.260 0.273 7.078
Tm 2.260 -0.273 4.525
Tm 0.894 -2.094 7.078
Tm -1.420 5.339 6.301
Tm 1.366 1.821 7.078
Tm 5.334 -1.440 6.301
Tm 3.914 3.900 5.302
Cu -3.030 0.456 4.137
Cu 1.120 -2.852 4.137
Cu -1.910 -2.396 7.466
Cu 1.910 2.396 4.137
Cu -1.120 2.852 7.466
Cu 3.030 -0.456 7.466
Ni 0.000 0.000 0.000
```

* energy relative to the elements: -2.00 kJ per mole of atoms
* DFT total energy: -4.44 eV/atom
* magnetic moment: 0.00 μB/f.u.
* density: 8.43 g cm⁻³